{"formula": "Th6SbAs3P2", "functional": "GGA-PBE", "state": "relaxed", "lattice_angstrom": [[-2.0327, 2.1731, -3.0298], [-7.0034, 0.2996, 4.9134], [5.6264, 6.5874, 3.9261]], "species": ["As", "P", "Th", "P", "As", "Th", "Th", "As", "Th", "Th", "Sb", "Th"], "frac_coords": [[0.5000, 0.5000, 0.0000], [0.8316, 0.6644, 0.6633], [0.3305, 0.4227, 0.6610], [0.1684, 0.3356, 0.3367], [0.1622, 0.8333, 0.3244], [0.0056, 0.2678, 0.0112], [0.3265, 0.9019, 0.6531], [0.8378, 0.1667, 0.6756], [0.6695, 0.5773, 0.3390], [0.6735, 0.0981, 0.3469], [0.5000, 0.0000, 0.0000], [0.9944, 0.7322, 0.9888]], "formation_energy_uncorrected_ev_per_atom": -1.340, "n_ef_per_ev_cell": 7.2, "volume_a3_per_cell": 328.12, "rho_g_cm3": 9.11, "spacegroup": "C2/m (12)"}

{"formula": "LiSe2IBr", "functional": "GGA-PBE", "state": "relaxed", "lattice_angstrom": [[5.4337, 0.0000, 0.0000], [0.0000, 5.4337, 0.0000], [0.0000, 0.0000, 5.8910]], "species": ["I", "Br", "Li", "Se", "Se"], "frac_coords": [[0.0000, 0.0000, 0.0000], [0.0000, 0.0000, 0.5000], [0.5000, 0.5000, 0.5000], [0.5000, 0.0000, 0.0000], [0.0000, 0.5000, 0.0000]], "polymorph_energy_ev_per_fu": 0.00, "formation_energy_uncorrected_ev_per_atom": 0.171, "n_ef_per_ev_cell": 3.5, "volume_a3_per_cell": 173.93, "rho_g_cm3": 3.55, "spacegroup": "P4/mmm (123)"}

{"formula": "Rb2Cu3P2", "functional": "GGA-PBE", "state": "relaxed", "lattice_angstrom": [[-1.0899, 2.3834, 3.1454], [0.3403, -3.3572, 5.3267], [6.6826, 0.9907, 1.5712]], "species": ["Rb", "P", "Rb", "Cu", "P", "Cu", "Cu"], "frac_coords": [[0.6114, 0.7771, 0.3654], [0.8680, 0.2634, 0.1898], [0.3886, 0.2229, 0.6346], [0.7056, 0.5895, 0.9226], [0.1320, 0.7366, 0.8102], [0.0000, 0.0000, 0.0000], [0.2944, 0.4105, 0.0774]], "n_ef_per_ev_cell": 2.5, "e_form_ev_per_atom": -0.2495, "volume_a3_per_cell": 166.70, "rho_g_cm3": 4.22, "spacegroup": "C2/m (12)"}

{"formula": "DyGa6Re", "functional": "GGA-PBE", "state": "relaxed", "lattice_angstrom": [[-5.0181, 0.1749, -2.8920], [3.1675, -4.2236, -2.3881], [-2.7454, -4.9834, 1.0970]], "species": ["Ga", "Re", "Ga", "Ga", "Ga", "Ga", "Dy", "Ga"], "frac_coords": [[0.7134, 0.7134, 0.8565], [0.0000, 0.0000, 0.0000], [0.2865, 0.8564, 0.7134], [0.2866, 0.2866, 0.1435], [0.8564, 0.2865, 0.7134], [0.1436, 0.7135, 0.2866], [0.5000, 0.5000, 0.5000], [0.7135, 0.1436, 0.2866]], "n_ef_per_ev_cell": 6.0, "e_form_ev_per_atom": -0.1346, "volume_a3_per_cell": 162.69, "rho_g_cm3": 7.83, "spacegroup": "R-3m (166)"}

{"formula": "CaMg3Pt", "functional": "GGA-PBE", "state": "relaxed", "lattice_angstrom": [[5.0752, 0.0000, 0.0000], [0.0000, 5.0752, 0.0000], [0.0000, 0.0000, 5.0752]], "species": ["Mg", "Mg", "Ca", "Mg", "Pt"], "frac_coords": [[0.0000, 0.5000, 0.0000], [0.0000, 0.0000, 0.5000], [0.5000, 0.5000, 0.5000], [0.5000, 0.0000, 0.0000], [0.0000, 0.0000, 0.0000]], "polymorph_energy_ev_per_fu": 0.50, "n_ef_per_ev_cell": 2.7, "e_form_ev_per_atom": -0.3761, "volume_a3_per_cell": 130.73, "rho_g_cm3": 3.91, "spacegroup": "Pm-3m (221)"}

{"formula": "KTaO3", "functional": "GGA-PBE", "state": "relaxed", "lattice_angstrom": [[17.8059, 0.0000, 0.2948], [6.5258, 1.5705, -2.8801], [-6.5258, 1.5705, 2.8801]], "species": ["O", "O", "K", "Ta", "O", "O", "K", "O", "O", "Ta"], "frac_coords": [[0.7106, 0.3506, 0.6494], [0.1365, 0.1796, 0.8204], [0.8572, 0.0147, 0.9853], [0.6492, 0.0041, 0.9959], [0.8635, 0.8204, 0.1796], [0.2894, 0.6494, 0.3506], [0.1428, 0.9853, 0.0147], [0.4549, 0.7405, 0.2595], [0.5451, 0.2595, 0.7405], [0.3508, 0.9959, 0.0041]], "formation_energy_uncorrected_ev_per_atom": -2.453, "n_ef_per_ev_cell": 0.0, "volume_a3_per_cell": 167.12, "rho_g_cm3": 5.33, "spacegroup": "C2/m (12)"}

Number 5 is which compound?
CaMg3Pt